Record 1
Below is RbHfTa after structural relaxation, with properties calculated at the GGA-PBE level.

a b c (Å): 7.1746 7.1746 7.1746
angles (deg): 90.00 90.00 90.00
Fractional positions:
Rb: 0.0000 0.0000 0.0000
Rb: 0.0000 0.5000 0.5000
Rb: 0.5000 0.0000 0.5000
Rb: 0.5000 0.5000 0.0000
Hf: 0.0000 0.0000 0.5000
Hf: 0.0000 0.5000 0.0000
Hf: 0.5000 0.0000 0.0000
Hf: 0.5000 0.5000 0.5000
Ta: 0.2500 0.2500 0.7500
Ta: 0.2500 0.7500 0.2500
Ta: 0.7500 0.2500 0.2500
Ta: 0.7500 0.7500 0.7500

Calculated values
Space group: No. 216
Distance to the lowest polymorph of the same formula in meV per atom: 0
Total energy in eV per atom: -5.377



Record 2
Below is Rb2HfTe3 after structural relaxation, with properties calculated at the GGA-PBE level.

a b c (Å): 8.9125 4.3321 11.9061
angles (deg): 90.00 96.19 90.00
Fractional positions:
Rb: 0.0786 0.2500 0.1439
Rb: 0.2498 0.7500 0.4788
Rb: 0.7502 0.2500 0.5212
Rb: 0.9214 0.7500 0.8561
Hf: 0.4030 0.2500 0.8319
Hf: 0.5970 0.7500 0.1681
Te: 0.1325 0.2500 0.6969
Te: 0.3193 0.7500 0.9865
Te: 0.4536 0.2500 0.2839
Te: 0.5464 0.7500 0.7161
Te: 0.6807 0.2500 0.0135
Te: 0.8675 0.7500 0.3031

Calculated values
Space group: No. 11
Total energy in eV per atom: -4.516



Record 3
Below is Rb2HfTe3 after structural relaxation, with properties calculated at the GGA-PBE level.

a b c (Å): 8.4189 8.4189 7.7485
angles (deg): 95.19 95.19 70.30
Fractional positions:
Rb: 0.0110 0.6775 0.8070
Rb: 0.3225 0.9890 0.6930
Rb: 0.6775 0.0110 0.3070
Rb: 0.9890 0.3225 0.1930
Hf: 0.4170 0.5830 0.2500
Hf: 0.5830 0.4170 0.7500
Te: 0.1401 0.8599 0.2500
Te: 0.3272 0.3904 0.4978
Te: 0.3904 0.3272 0.9978
Te: 0.6096 0.6728 0.0022
Te: 0.6728 0.6096 0.5022
Te: 0.8599 0.1401 0.7500

Calculated values
Space group: No. 15
Total energy in eV per atom: -4.547



Record 4
Below is Rb2HfTe3 after structural relaxation, with properties calculated at the GGA-PBE level.

a b c (Å): 17.0779 4.3324 13.4496
angles (deg): 90.00 90.00 90.00
Fractional positions:
Rb: 0.1192 0.2500 0.0607
Rb: 0.1994 0.2500 0.7235
Rb: 0.3006 0.7500 0.2235
Rb: 0.3808 0.7500 0.5607
Rb: 0.6192 0.2500 0.4393
Rb: 0.6994 0.2500 0.7765
Rb: 0.8006 0.7500 0.2765
Rb: 0.8808 0.7500 0.9393
Hf: 0.0410 0.7500 0.3583
Hf: 0.4590 0.2500 0.8583
Hf: 0.5410 0.7500 0.1417
Hf: 0.9590 0.2500 0.6417
Te: 0.0165 0.2500 0.8324
Te: 0.0695 0.7500 0.5791
Te: 0.1571 0.2500 0.3412
Te: 0.3429 0.7500 0.8412
Te: 0.4305 0.2500 0.0791
Te: 0.4835 0.7500 0.3324
Te: 0.5165 0.2500 0.6676
Te: 0.5695 0.7500 0.9209
Te: 0.6571 0.2500 0.1588
Te: 0.8429 0.7500 0.6588
Te: 0.9305 0.2500 0.4209
Te: 0.9835 0.7500 0.1676

Calculated values
Space group: No. 62
Total energy in eV per atom: -4.434



Record 5
Below is Rb2HfTe3 after structural relaxation, with properties calculated at the GGA-PBE level.

a b c (Å): 8.9188 4.3380 11.8996
angles (deg): 90.00 95.97 90.00
Fractional positions:
Rb: 0.0811 0.2500 0.1413
Rb: 0.2486 0.7500 0.4829
Rb: 0.7514 0.2500 0.5171
Rb: 0.9189 0.7500 0.8587
Hf: 0.4045 0.2500 0.8315
Hf: 0.5955 0.7500 0.1685
Te: 0.1319 0.2500 0.7007
Te: 0.3212 0.7500 0.9864
Te: 0.4527 0.2500 0.2849
Te: 0.5473 0.7500 0.7151
Te: 0.6788 0.2500 0.0136
Te: 0.8681 0.7500 0.2993

Calculated values
Space group: No. 11
Total energy in eV per atom: -4.516



Record 6
Below is RbHfTe after structural relaxation, with properties calculated at the GGA-PBE level.

a b c (Å): 7.8420 7.8420 7.8420
angles (deg): 90.00 90.00 90.00
Fractional positions:
Rb: 0.0000 0.0000 0.0000
Rb: 0.0000 0.5000 0.5000
Rb: 0.5000 0.0000 0.5000
Rb: 0.5000 0.5000 0.0000
Hf: 0.2500 0.2500 0.7500
Hf: 0.2500 0.7500 0.2500
Hf: 0.7500 0.2500 0.2500
Hf: 0.7500 0.7500 0.7500
Te: 0.2500 0.2500 0.2500
Te: 0.2500 0.7500 0.7500
Te: 0.7500 0.2500 0.7500
Te: 0.7500 0.7500 0.2500

Calculated values
Space group: No. 216
Distance to the lowest polymorph of the same formula in meV per atom: 658
Total energy in eV per atom: -3.417



Record 7
Below is RbHfTe after structural relaxation, with properties calculated at the GGA-PBE level.

a b c (Å): 7.5664 7.5664 7.5664
angles (deg): 90.00 90.00 90.00
Fractional positions:
Rb: 0.0000 0.0000 0.0000
Rb: 0.0000 0.5000 0.5000
Rb: 0.5000 0.0000 0.5000
Rb: 0.5000 0.5000 0.0000
Hf: 0.0000 0.0000 0.5000
Hf: 0.0000 0.5000 0.0000
Hf: 0.5000 0.0000 0.0000
Hf: 0.5000 0.5000 0.5000
Te: 0.2500 0.2500 0.7500
Te: 0.2500 0.7500 0.2500
Te: 0.7500 0.2500 0.2500
Te: 0.7500 0.7500 0.7500

Calculated values
Space group: No. 216
Distance to the lowest polymorph of the same formula in meV per atom: 0
Total energy in eV per atom: -4.075



Record 8
Below is RbHfTlTe3 after structural relaxation, with properties calculated at the GGA-PBE level.

a b c (Å): 8.6426 4.2509 11.7428
angles (deg): 90.00 95.91 90.00
Fractional positions:
Rb: 0.2486 0.2500 0.4793
Rb: 0.7514 0.7500 0.5207
Hf: 0.4064 0.7500 0.8360
Hf: 0.5936 0.2500 0.1640
Tl: 0.0582 0.7500 0.1425
Tl: 0.9418 0.2500 0.8575
Te: 0.1202 0.7500 0.7028
Te: 0.3114 0.2500 0.9872
Te: 0.4409 0.7500 0.2821
Te: 0.5591 0.2500 0.7179
Te: 0.6886 0.7500 0.0128
Te: 0.8798 0.2500 0.2972

Calculated values
Space group: No. 11
Distance to the lowest polymorph of the same formula in meV per atom: 0
Total energy in eV per atom: -4.564



Record 9
Below is RbHfTlTe3 after structural relaxation, with properties calculated at the GGA-PBE level.

a b c (Å): 16.5653 4.2292 12.7872
angles (deg): 90.00 90.00 90.00
Fractional positions:
Rb: 0.2326 0.2500 0.1105
Rb: 0.2674 0.7500 0.6105
Rb: 0.7326 0.2500 0.3895
Rb: 0.7674 0.7500 0.8895
Hf: 0.0698 0.7500 0.3694
Hf: 0.4302 0.2500 0.8694
Hf: 0.5698 0.7500 0.1306
Hf: 0.9302 0.2500 0.6306
Tl: 0.0821 0.7500 0.8693
Tl: 0.4179 0.2500 0.3693
Tl: 0.5821 0.7500 0.6307
Tl: 0.9179 0.2500 0.1307
Te: 0.0524 0.7500 0.6089
Te: 0.0606 0.7500 0.1513
Te: 0.1881 0.2500 0.3928
Te: 0.3119 0.7500 0.8928
Te: 0.4394 0.2500 0.6513
Te: 0.4476 0.2500 0.1089
Te: 0.5524 0.7500 0.8911
Te: 0.5606 0.7500 0.3487
Te: 0.6881 0.2500 0.1072
Te: 0.8119 0.7500 0.6072
Te: 0.9394 0.2500 0.8487
Te: 0.9476 0.2500 0.3911

Calculated values
Space group: No. 62
Distance to the lowest polymorph of the same formula in meV per atom: 11
Total energy in eV per atom: -4.553



Record 10
Below is RbTmHfTe3 after structural relaxation, with properties calculated at the GGA-PBE level.

a b c (Å): 9.5144 4.5618 10.8590
angles (deg): 90.00 115.97 90.00
Fractional positions:
Rb: 0.0166 0.2500 0.2478
Rb: 0.9834 0.7500 0.7522
Tm: 0.4556 0.2500 0.1324
Tm: 0.5444 0.7500 0.8676
Hf: 0.4980 0.2500 0.6074
Hf: 0.5020 0.7500 0.3926
Te: 0.2360 0.7500 0.1300
Te: 0.3020 0.7500 0.5290
Te: 0.3169 0.2500 0.8201
Te: 0.6831 0.7500 0.1799
Te: 0.6980 0.2500 0.4710
Te: 0.7640 0.2500 0.8700

Calculated values
Space group: No. 11
Distance to the lowest polymorph of the same formula in meV per atom: 0
Total energy in eV per atom: -5.115



Record 11
Below is RbTmHfTe3 after structural relaxation, with properties calculated at the GGA-PBE level.

a b c (Å): 8.7276 8.7276 11.4282
angles (deg): 90.00 90.00 150.94
Fractional positions:
Rb: 0.2486 0.7514 0.7500
Rb: 0.7514 0.2486 0.2500
Tm: 0.5000 0.5000 0.0000
Tm: 0.5000 0.5000 0.5000
Hf: 0.0347 0.9653 0.2500
Hf: 0.9653 0.0347 0.7500
Te: 0.1256 0.8744 0.0485
Te: 0.1256 0.8744 0.4515
Te: 0.4288 0.5712 0.2500
Te: 0.5712 0.4288 0.7500
Te: 0.8744 0.1256 0.5485
Te: 0.8744 0.1256 0.9515

Calculated values
Space group: No. 63
Distance to the lowest polymorph of the same formula in meV per atom: 34
Total energy in eV per atom: -5.081



Record 12
Below is RbTmHfTe3 after structural relaxation, with properties calculated at the GGA-PBE level.

a b c (Å): 8.7954 8.7954 11.2646
angles (deg): 90.00 90.00 151.29
Fractional positions:
Rb: 0.2486 0.7514 0.7500
Rb: 0.7514 0.2486 0.2500
Tm: 0.4649 0.5351 0.2500
Tm: 0.5351 0.4649 0.7500
Hf: 0.0000 0.0000 0.0000
Hf: 0.0000 0.0000 0.5000
Te: 0.0749 0.9251 0.2500
Te: 0.3790 0.6210 0.0309
Te: 0.3790 0.6210 0.4691
Te: 0.6210 0.3790 0.5309
Te: 0.6210 0.3790 0.9691
Te: 0.9251 0.0749 0.7500

Calculated values
Space group: No. 63
Distance to the lowest polymorph of the same formula in meV per atom: 90
Total energy in eV per atom: -5.025